# 1
Material: Zr3Ti2Al2
Method: DFT, PBE-GGA
State: optimized geometry

## Properties
Space group: No. 10
Energy of formation (eV/atom): -0.03

abc: 4.8035 2.9032 9.9066
angles: 90.00 103.89 90.00
Positions (direct):
Zr  0.0000  0.0000  0.0000
Zr  0.2897  0.0000  0.5813
Zr  0.7103  0.0000  0.4187
Ti  0.4315  0.0000  0.8596
Ti  0.5685  0.0000  0.1404
Al  0.1420  0.5000  0.2824
Al  0.8580  0.5000  0.7176

=====

# 2
Material: Tl2ReSi
Method: DFT, PBE-GGA
State: optimized geometry

## Properties
Space group: No. 123
Formation energy (no corrections) (eV/atom): 1.079

abc: 3.8189 3.8189 5.4727
angles: 90.00 90.00 90.00
Positions (direct):
Tl  0.0000  0.0000  0.2487
Tl  0.0000  0.0000  0.7513
Re  0.5000  0.5000  0.0000
Si  0.5000  0.5000  0.5000

=====

# 3
Material: Tm2AlNi
Method: DFT, PBE-GGA
State: optimized geometry

## Properties
Space group: No. 166
Energy of formation (eV/atom): 0.25

abc: 9.8869 9.8869 9.8869
angles: 19.05 19.05 19.05
Positions (direct):
Tm  0.0854  0.0854  0.0854
Tm  0.9146  0.9146  0.9146
Al  0.5000  0.5000  0.5000
Ni  0.0000  0.0000  0.0000

=====

# 4
Material: ErTm2Sb3
Method: DFT, PBE-GGA
State: optimized geometry

## Properties
Space group: No. 71
Formation energy (no corrections) (eV/atom): -1.077

abc: 7.5219 7.5219 7.5219
angles: 146.45 131.85 59.96
Positions (direct):
Er  0.0000  0.0000  0.0000
Tm  0.3336  0.3336  0.0000
Tm  0.6664  0.6664  0.0000
Sb  0.1673  0.6673  0.5000
Sb  0.5000  0.0000  0.5000
Sb  0.8327  0.3327  0.5000

=====

Mass density: 5.24, 12.96, 7.82, 8.33 (Mg/m³)
Total DFT energy (no corrections): -7.014, -4.572, -4.362, -5.389 (eV/atom)